Record 1
# NbHRh3

NbHRh3 after structural relaxation (GGA-PBE, Alexandria).

POSCAR file:
```
NbHRh3
1.0
4.919 -2.796 0.000
4.919 2.796 0.000
-0.064 0.000 4.495
Nb H Rh
2 2 6
Cartesian
1.710 0.000 1.071
8.065 0.000 3.424
-0.032 0.000 2.248
4.919 0.000 0.000
4.076 1.396 1.123
3.235 0.000 3.364
5.699 1.396 3.372
4.076 -1.396 1.123
6.540 0.000 1.131
5.699 -1.396 3.372
```

Values from the calculation:
The calculation puts the excess energy over the best structure of this formula in the dataset at 11 meV per atom. The density of states at the Fermi level comes out at 6.6 states/eV per cell. As for the uncorrected energy: -7.5017 eV/atom.

---

Record 2
# K3RhI8

K3RhI8 after structural relaxation (GGA-PBE, Alexandria).

POSCAR file:
```
K3RhI8
1.0
-4.390 4.390 6.535
4.390 -4.390 6.535
4.390 4.390 -6.535
K Rh I
3 1 8
Cartesian
0.000 0.000 0.000
4.390 0.000 3.267
0.000 4.390 3.267
0.000 0.000 6.535
2.468 2.468 -1.640
1.922 -1.922 4.895
2.468 2.468 1.640
1.922 -1.922 8.175
-1.922 1.922 4.895
1.922 1.922 4.895
-1.922 1.922 8.175
1.922 1.922 8.175
```

Values from the calculation:
The density of states at the Fermi level comes out at 4.2 states/eV per cell. As for the uncorrected energy: -2.4330 eV/atom. For the formation energy from raw total energies, the calculation gives -0.51 eV per atom.

---

Record 3
# KDy4TmSe8

KDy4TmSe8 after structural relaxation (GGA-PBE, Alexandria).

POSCAR file:
```
KDy4TmSe8
1.0
4.291 2.478 6.956
-4.291 2.478 6.956
0.000 -4.955 6.956
K Dy Tm Se
1 4 1 8
Cartesian
0.000 0.000 0.000
-2.230 -1.288 9.497
0.000 0.000 5.177
2.230 -1.288 9.497
0.000 2.575 9.497
0.000 0.000 13.108
0.000 0.000 7.950
0.000 -2.315 11.232
-2.004 1.157 11.232
-1.869 -1.079 14.831
2.004 1.157 11.232
1.869 -1.079 14.831
0.000 2.158 14.831
0.000 0.000 17.916
```

Values from the calculation:
The density of states at the Fermi level comes out at 0.0 states/eV per cell. As for the uncorrected energy: -5.4482 eV/atom. For the formation energy from raw total energies, the calculation gives -1.74 eV per atom.

---

Record 4
# BaCuBi

BaCuBi after structural relaxation (GGA-PBE, Alexandria).

POSCAR file:
```
BaCuBi
1.0
4.954 0.000 0.000
0.000 4.954 0.000
0.000 0.000 7.615
Ba Cu Bi
2 2 2
Cartesian
1.239 1.239 1.559
3.716 3.716 6.056
1.239 3.715 3.807
3.715 1.239 3.808
1.239 1.239 5.305
3.716 3.716 2.310
```

Values from the calculation:
The density of states at the Fermi level comes out at 0.6 states/eV per cell. Its energy of formation from the pure elements is -0.48 eV per atom. As for the uncorrected energy: -3.7774 eV/atom.